## Mn3NiP4O16 (GGA+U)

Data for an optimized crystal structure of Mn3NiP4O16.

## Properties
**E_tot**: -7.1164 eV/atom
**Size of the total moment**: 12.979 μB per formula unit

The structure in CIF format:
```
data_Mn3NiP4O16
_space_group_name_H-M_alt 'P 1 m 1'
_space_group_IT_number 6
_cell_length_a 4.843
_cell_length_b 5.918
_cell_length_c 9.831
_cell_angle_alpha 90.00
_cell_angle_beta 90.06
_cell_angle_gamma 90.00
loop_
_space_group_symop_operation_xyz
'x,y,z'
'x,-y,z'
loop_
_atom_site_label
_atom_site_type_symbol
_atom_site_fract_x
_atom_site_fract_y
_atom_site_fract_z
Mn1 Mn 0.000 0.000 0.000
Mn2 Mn 0.131 0.500 0.563
Mn3 Mn 0.638 0.000 0.496
Ni1 Ni 0.504 0.500 0.051
P1 P 0.163 0.000 0.685
P2 P 0.456 0.000 0.181
P3 P 0.661 0.500 0.374
P4 P 0.967 0.500 0.872
O1 O 0.219 0.000 0.839
O2 O 0.278 0.500 0.887
O3 O 0.301 0.201 0.110
O4 O 0.311 0.203 0.613
O5 O 0.348 0.500 0.402
O6 O 0.410 0.000 0.336
O7 O 0.714 0.500 0.222
O8 O 0.770 0.000 0.157
O9 O 0.812 0.298 0.448
O10 O 0.817 0.295 0.945
O11 O 0.849 0.000 0.660
O12 O 0.894 0.500 0.718
```